The following is a GGA-PBE calculation of HfHgIO2 after structural relaxation, from Alexandria.

Computed properties:
Formation energy without anion corrections: -1.51 eV/atom
DOS at the Fermi energy: 0.161 states/eV/atom
M_tot: 0.000 μB/f.u.
Relative energy among the computed polymorphs: 0 meV per atom

a b c (Å): 4.137 4.137 6.137
angles (deg): 90.00 90.00 90.00
Fractional positions:
Hf 0.000 0.000 0.000
Hg 0.500 0.500 0.500
I 0.000 0.000 0.500
O 0.000 0.500 0.000
O 0.500 0.000 0.000

---

The following is a GGA-PBE calculation of Ti2CrHAu after structural relaxation, from Alexandria.

Computed properties:
DOS at the Fermi energy: 0.810 states/eV/atom
M_tot: 0.896 μB/f.u.
Calculated total energy: -33.2 eV per formula unit

a b c (Å): 4.111 4.111 3.801
angles (deg): 90.00 90.00 90.00
Fractional positions:
Ti 0.000 0.500 0.000
Ti 0.500 0.000 0.000
Cr 0.000 0.000 0.500
H 0.000 0.000 0.000
Au 0.500 0.500 0.500

---

The following is a GGA-PBE calculation of Cs3InF after structural relaxation, from Alexandria.

Computed properties:
Formation energy without anion corrections: -0.98 eV/atom
DOS at the Fermi energy: 1.230 states/eV/atom
M_tot: 1.451 μB/f.u.
Relative energy among the computed polymorphs: 0 meV per atom

a b c (Å): 6.126 6.126 6.126
angles (deg): 90.00 90.00 90.00
Fractional positions:
Cs 0.000 0.000 0.500
Cs 0.000 0.500 0.000
Cs 0.500 0.000 0.000
In 0.500 0.500 0.500
F 0.000 0.000 0.000

---

The following is a GGA-PBE calculation of Ca2SbPd4 after structural relaxation, from Alexandria.

Computed properties:
Formation energy without anion corrections: -0.25 eV/atom
DOS at the Fermi energy: 0.543 states/eV/atom
M_tot: 0.000 μB/f.u.

a b c (Å): 4.944 4.944 14.702
angles (deg): 90.00 90.00 90.00
Fractional positions:
Ca 0.000 0.000 0.133
Ca 0.000 0.000 0.867
Ca 0.500 0.500 0.367
Ca 0.500 0.500 0.633
Sb 0.000 0.000 0.500
Sb 0.500 0.500 0.000
Pd 0.000 0.000 0.324
Pd 0.000 0.000 0.676
Pd 0.000 0.500 0.000
Pd 0.000 0.500 0.500
Pd 0.500 0.000 0.000
Pd 0.500 0.000 0.500
Pd 0.500 0.500 0.176
Pd 0.500 0.500 0.824

---

The following is a GGA-PBE calculation of TlMoCl4 after structural relaxation, from Alexandria.

Computed properties:
Formation energy without anion corrections: 0.64 eV/atom
DOS at the Fermi energy: 1.355 states/eV/atom
M_tot: 6.422 μB/f.u.
Relative energy among the computed polymorphs: 1523 meV per atom

a b c (Å): 6.044 6.044 6.044
angles (deg): 60.00 60.00 60.00
Fractional positions:
Tl 0.000 0.000 0.000
Mo 0.250 0.250 0.250
Cl 0.127 0.624 0.624
Cl 0.624 0.127 0.624
Cl 0.624 0.624 0.127
Cl 0.624 0.624 0.624

---

The following is a GGA-PBE calculation of SiH4Se after structural relaxation, from Alexandria.

Computed properties:
DOS at the Fermi energy: 0.000 states/eV/atom
M_tot: 0.000 μB/f.u.
Relative energy among the computed polymorphs: 0 meV per atom

a b c (Å): 7.703 6.910 3.493
angles (deg): 90.00 90.36 90.00
Fractional positions:
Si 0.000 0.000 0.000
Si 0.500 0.500 0.000
H 0.136 0.445 0.492
H 0.136 0.555 0.492
H 0.391 0.322 0.999
H 0.391 0.678 0.999
H 0.636 0.055 0.492
H 0.636 0.945 0.492
H 0.891 0.178 0.999
H 0.891 0.822 0.999
Se 0.194 0.000 0.503
Se 0.694 0.500 0.503

---

The following is a GGA-PBE calculation of LaGdInAg after structural relaxation, from Alexandria.

Computed properties:
Calculated formation energy: -386.0 meV per atom
DOS at the Fermi energy: 1.321 states/eV/atom
M_tot: 7.612 μB/f.u.

a b c (Å): 7.657 7.657 7.657
angles (deg): 90.00 90.00 90.00
Fractional positions:
La 0.000 0.000 0.000
La 0.000 0.500 0.500
La 0.500 0.000 0.500
La 0.500 0.500 0.000
Gd 0.000 0.000 0.500
Gd 0.000 0.500 0.000
Gd 0.500 0.000 0.000
Gd 0.500 0.500 0.500
In 0.250 0.250 0.250
In 0.250 0.750 0.750
In 0.750 0.250 0.750
In 0.750 0.750 0.250
Ag 0.250 0.250 0.750
Ag 0.250 0.750 0.250
Ag 0.750 0.250 0.250
Ag 0.750 0.750 0.750

---

The following is a GGA-PBE calculation of Tl2OsN after structural relaxation, from Alexandria.

Computed properties:
Formation energy without anion corrections: 1.83 eV/atom
DOS at the Fermi energy: 0.892 states/eV/atom
M_tot: 1.078 μB/f.u.
Relative energy among the computed polymorphs: 255 meV per atom

a b c (Å): 6.618 6.618 6.618
angles (deg): 90.00 90.00 90.00
Fractional positions:
Tl 0.250 0.250 0.250
Tl 0.250 0.250 0.750
Tl 0.250 0.750 0.250
Tl 0.250 0.750 0.750
Tl 0.750 0.250 0.250
Tl 0.750 0.250 0.750
Tl 0.750 0.750 0.250
Tl 0.750 0.750 0.750
Os 0.000 0.000 0.000
Os 0.000 0.500 0.500
Os 0.500 0.000 0.500
Os 0.500 0.500 0.000
N 0.000 0.000 0.500
N 0.000 0.500 0.000
N 0.500 0.000 0.000
N 0.500 0.500 0.500